No. 1
DFT (PBE) results for a geometry-optimized MgScPt2 structure.

Output
- calculated density (Mg/m³) = 11.1
- space-group type = No. 216
- energy of formation from the pure elements (eV per atom) = -0.719

Lattice parameters (Å, degrees): 6.509 6.509 6.509 90.00 90.00 90.00
Fractional coordinates of all 16 atoms:
Mg (0.000, 0.000, 0.000)
Mg (0.000, 0.500, 0.500)
Mg (0.500, 0.000, 0.500)
Mg (0.500, 0.500, 0.000)
Sc (0.250, 0.250, 0.250)
Sc (0.250, 0.750, 0.750)
Sc (0.750, 0.250, 0.750)
Sc (0.750, 0.750, 0.250)
Pt (0.000, 0.000, 0.500)
Pt (0.000, 0.500, 0.000)
Pt (0.250, 0.250, 0.750)
Pt (0.250, 0.750, 0.250)
Pt (0.500, 0.000, 0.000)
Pt (0.500, 0.500, 0.500)
Pt (0.750, 0.250, 0.250)
Pt (0.750, 0.750, 0.750)

No. 2
DFT (PBE) results for a geometry-optimized LiIrPdO6 structure.

Output
- ΔE_f (raw) (eV/atom) = -0.631
- calculated density (Mg/m³) = 6.3
- space-group type = No. 163

Lattice parameters (Å, degrees): 5.203 5.203 9.078 90.00 90.00 120.00
Fractional coordinates of all 18 atoms:
Li (0.000, 0.000, 0.000)
Li (0.000, 0.000, 0.500)
Ir (0.333, 0.667, 0.250)
Ir (0.667, 0.333, 0.750)
Pd (0.333, 0.667, 0.750)
Pd (0.667, 0.333, 0.250)
O (0.012, 0.369, 0.133)
O (0.012, 0.643, 0.367)
O (0.357, 0.369, 0.367)
O (0.357, 0.988, 0.133)
O (0.369, 0.012, 0.633)
O (0.369, 0.357, 0.867)
O (0.631, 0.643, 0.133)
O (0.631, 0.988, 0.367)
O (0.643, 0.012, 0.867)
O (0.643, 0.631, 0.633)
O (0.988, 0.357, 0.633)
O (0.988, 0.631, 0.867)

No. 3
DFT (PBE) results for a geometry-optimized Sm2CuSi2Rh5 structure.

Output
- ΔE_f (raw) (eV/atom) = -0.758
- calculated density (Mg/m³) = 9.3
- space-group type = No. 127

Lattice parameters (Å, degrees): 9.845 9.845 3.436 90.00 90.00 90.00
Fractional coordinates of all 20 atoms:
Sm (0.174, 0.326, 0.000)
Sm (0.326, 0.826, 0.000)
Sm (0.674, 0.174, 0.000)
Sm (0.826, 0.674, 0.000)
Cu (0.000, 0.000, 0.000)
Cu (0.500, 0.500, 0.000)
Si (0.125, 0.625, 0.000)
Si (0.375, 0.125, 0.000)
Si (0.625, 0.875, 0.000)
Si (0.875, 0.375, 0.000)
Rh (0.000, 0.500, 0.500)
Rh (0.067, 0.789, 0.500)
Rh (0.211, 0.067, 0.500)
Rh (0.289, 0.567, 0.500)
Rh (0.433, 0.289, 0.500)
Rh (0.500, 0.000, 0.500)
Rh (0.567, 0.711, 0.500)
Rh (0.711, 0.433, 0.500)
Rh (0.789, 0.933, 0.500)
Rh (0.933, 0.211, 0.500)

No. 4
DFT (PBE) results for a geometry-optimized CsSrSn2 structure.

Output
- calculated density (Mg/m³) = 4.9
- space-group type = No. 225
- energy of formation from the pure elements (eV per atom) = -0.094

Lattice parameters (Å, degrees): 8.511 8.511 8.511 90.00 90.00 90.00
Fractional coordinates of all 16 atoms:
Cs (0.000, 0.000, 0.000)
Cs (0.000, 0.500, 0.500)
Cs (0.500, 0.000, 0.500)
Cs (0.500, 0.500, 0.000)
Sr (0.000, 0.000, 0.500)
Sr (0.000, 0.500, 0.000)
Sr (0.500, 0.000, 0.000)
Sr (0.500, 0.500, 0.500)
Sn (0.250, 0.250, 0.250)
Sn (0.250, 0.250, 0.750)
Sn (0.250, 0.750, 0.250)
Sn (0.250, 0.750, 0.750)
Sn (0.750, 0.250, 0.250)
Sn (0.750, 0.250, 0.750)
Sn (0.750, 0.750, 0.250)
Sn (0.750, 0.750, 0.750)

No. 5
DFT (PBE) results for a geometry-optimized ErZr7Al4 structure.

Output
- calculated density (Mg/m³) = 5.9
- space-group type = No. 2
- energy of formation from the pure elements (eV per atom) = -0.192

Lattice parameters (Å, degrees): 5.702 5.951 7.813 87.83 77.16 84.19
Fractional coordinates of all 12 atoms:
Er (0.000, 0.000, 0.000)
Zr (0.000, 0.500, 0.000)
Zr (0.192, 0.121, 0.394)
Zr (0.318, 0.652, 0.637)
Zr (0.488, 0.258, 0.037)
Zr (0.512, 0.742, 0.963)
Zr (0.682, 0.348, 0.363)
Zr (0.808, 0.879, 0.606)
Al (0.173, 0.621, 0.306)
Al (0.365, 0.170, 0.708)
Al (0.635, 0.830, 0.292)
Al (0.827, 0.379, 0.694)

No. 6
DFT (PBE) results for a geometry-optimized CaFe3Cl structure.

Output
- E above lowest polymorph (eV/atom) = 1.371
- ΔE_f (raw) (eV/atom) = 1.967
- calculated density (Mg/m³) = 3.3
- space-group type = No. 221

Lattice parameters (Å, degrees): 4.957 4.957 4.957 90.00 90.00 90.00
Fractional coordinates of all 5 atoms:
Ca (0.000, 0.000, 0.000)
Fe (0.000, 0.000, 0.500)
Fe (0.000, 0.500, 0.000)
Fe (0.500, 0.000, 0.000)
Cl (0.500, 0.500, 0.500)

| no. | E (eV per atom) |
| --- | --- |
| 1 | -5.721 |
| 2 | -5.711 |
| 3 | -6.872 |
| 4 | -2.729 |
| 5 | -6.806 |
| 6 | -3.880 |